No. 1
A geometry-optimized U2FeRe structure. Source: Alexandria via LeMat-Bulk, functional PBE-GGA.

Values from the calculation:
Calculated formation energy = 215 meV per atom
Calculated total energy = -10.66 eV/atom
Magnetization = 1.71 μB/cell

Geometry as CIF:
```
data_U2FeRe
_chemical_formula_sum 'U4 Fe2 Re2'
_cell_length_a 7.026
_cell_length_b 4.009
_cell_length_c 5.524
_cell_angle_alpha 90.00
_cell_angle_beta 90.49
_cell_angle_gamma 90.00
_symmetry_space_group_name_H-M 'C 1 2/m 1'
_symmetry_Int_Tables_number 12
_symmetry_space_group_name_Hall '-C 2y'
loop_
_atom_site_label
_atom_site_type_symbol
_atom_site_fract_x
_atom_site_fract_y
_atom_site_fract_z
U1 U 0.167 0.000 0.233
Fe1 Fe 0.000 0.500 0.000
Re1 Re 0.000 0.500 0.500
```

No. 2
A geometry-optimized U2FeRe structure. Source: Alexandria via LeMat-Bulk, functional PBE-GGA.

Values from the calculation:
Calculated formation energy = 390 meV per atom
Calculated total energy = -10.48 eV/atom
Magnetization = 1.40 μB/cell

Geometry as CIF:
```
data_U2FeRe
_chemical_formula_sum 'U6 Fe3 Re3'
_cell_length_a 2.9437
_cell_length_b 2.9437
_cell_length_c 28.1360
_cell_angle_alpha 90.00
_cell_angle_beta 90.00
_cell_angle_gamma 120.00
_symmetry_space_group_name_H-M 'R -3 m'
_symmetry_Int_Tables_number 166
_symmetry_space_group_name_Hall '-R 3 2"'
loop_
_atom_site_label
_atom_site_type_symbol
_atom_site_fract_x
_atom_site_fract_y
_atom_site_fract_z
U1 U 0.0000 0.0000 0.0829
Fe1 Fe 0.0000 0.0000 0.0000
Re1 Re 0.0000 0.0000 0.5000
```

No. 3
A geometry-optimized UFe10Re2 structure. Source: Alexandria via LeMat-Bulk, functional PBE-GGA.

Values from the calculation:
Calculated formation energy = 37 meV per atom
Calculated total energy = -9.26 eV/atom
Magnetization = 6.33 μB/cell

Geometry as CIF:
```
data_UFe10Re2
_chemical_formula_sum 'U2 Fe20 Re4'
_cell_length_a 4.634
_cell_length_b 8.408
_cell_length_c 8.440
_cell_angle_alpha 90.00
_cell_angle_beta 90.00
_cell_angle_gamma 90.00
_symmetry_space_group_name_H-M 'I m m m'
_symmetry_Int_Tables_number 71
_symmetry_space_group_name_Hall '-I 2 2'
loop_
_atom_site_label
_atom_site_type_symbol
_atom_site_fract_x
_atom_site_fract_y
_atom_site_fract_z
U1 U 0.000 0.000 0.000
Fe1 Fe 0.000 0.284 0.500
Fe2 Fe 0.000 0.360 0.000
Fe3 Fe 0.000 0.500 0.278
Fe4 Fe 0.250 0.250 0.250
Re1 Re 0.000 0.000 0.354
```

No. 4
A geometry-optimized VFe2Re structure. Source: Alexandria via LeMat-Bulk, functional PBE-GGA.

Values from the calculation:
Calculated formation energy = 30 meV per atom
Calculated total energy = -9.59 eV/atom
Magnetization = 0.00 μB/cell

Geometry as CIF:
```
data_VFe2Re
_chemical_formula_sum 'V1 Fe2 Re1'
_cell_length_a 2.716
_cell_length_b 2.716
_cell_length_c 6.619
_cell_angle_alpha 90.00
_cell_angle_beta 90.00
_cell_angle_gamma 90.00
_symmetry_space_group_name_H-M 'P 4/m m m'
_symmetry_Int_Tables_number 123
_symmetry_space_group_name_Hall '-P 4 2'
loop_
_atom_site_label
_atom_site_type_symbol
_atom_site_fract_x
_atom_site_fract_y
_atom_site_fract_z
V1 V 0.000 0.000 0.000
Fe1 Fe 0.500 0.500 0.234
Re1 Re 0.000 0.000 0.500
```

No. 5
A geometry-optimized VFeRe2 structure. Source: Alexandria via LeMat-Bulk, functional PBE-GGA.

Values from the calculation:
Calculated formation energy = 25 meV per atom
Calculated total energy = -10.59 eV/atom
Magnetization = 1.51 μB/cell

Geometry as CIF:
```
data_VFeRe2
_chemical_formula_sum 'V1 Fe1 Re2'
_cell_length_a 3.818
_cell_length_b 3.818
_cell_length_c 3.757
_cell_angle_alpha 90.00
_cell_angle_beta 90.00
_cell_angle_gamma 90.00
_symmetry_space_group_name_H-M 'P 4/m m m'
_symmetry_Int_Tables_number 123
_symmetry_space_group_name_Hall '-P 4 2'
loop_
_atom_site_label
_atom_site_type_symbol
_atom_site_fract_x
_atom_site_fract_y
_atom_site_fract_z
V1 V 0.000 0.000 0.000
Fe1 Fe 0.500 0.500 0.000
Re1 Re 0.000 0.500 0.500
```

No. 6
A geometry-optimized VFe4Re structure. Source: Alexandria via LeMat-Bulk, functional PBE-GGA.

Values from the calculation:
Calculated formation energy = -13 meV per atom
Calculated total energy = -9.25 eV/atom
Magnetization = 19.18 μB/cell

Geometry as CIF:
```
data_VFe4Re
_chemical_formula_sum 'V4 Fe16 Re4'
_cell_length_a 6.575
_cell_length_b 6.575
_cell_length_c 6.575
_cell_angle_alpha 90.00
_cell_angle_beta 90.00
_cell_angle_gamma 90.00
_symmetry_space_group_name_H-M 'F -4 3 m'
_symmetry_Int_Tables_number 216
_symmetry_space_group_name_Hall 'F -4 2 3'
loop_
_atom_site_label
_atom_site_type_symbol
_atom_site_fract_x
_atom_site_fract_y
_atom_site_fract_z
V1 V 0.000 0.000 0.000
Fe1 Fe 0.125 0.125 0.375
Re1 Re 0.250 0.250 0.750
```